# Li2HF | Alexandria via LeMat-Bulk | PBE | relaxed
# * total magnetization: 0.000 Bohr magnetons per cell
# * VASP energy: -3.89 eV per atom
# * DOS(E_F): 0.00 states/eV per cell
data_Li2HF
_chemical_formula_sum 'Li8 H4 F4'
_symmetry_space_group_name_H-M 'P b c m'
_symmetry_Int_Tables_number 57
_symmetry_space_group_name_Hall '-P 2c 2b'
_cell_length_a 5.655
_cell_length_b 4.881
_cell_length_c 4.901
_cell_angle_alpha 90.00
_cell_angle_beta 90.00
_cell_angle_gamma 90.00
loop_
_atom_site_label
_atom_site_type_symbol
_atom_site_fract_x
_atom_site_fract_y
_atom_site_fract_z
Li1 Li 0.125 0.250 0.000
Li2 Li 0.374 0.750 0.000
H1 H 0.379 0.084 0.250
F1 F 0.124 0.584 0.250


# LiHF2 | Alexandria via LeMat-Bulk | PBE | relaxed
# * total magnetization: 0.000 Bohr magnetons per cell
# * VASP energy: -3.45 eV per atom
# * DOS(E_F): 0.00 states/eV per cell
data_LiHF2
_chemical_formula_sum 'Li4 H4 F8'
_symmetry_space_group_name_H-M 'F m -3 m'
_symmetry_Int_Tables_number 225
_symmetry_space_group_name_Hall '-F 4 2 3'
_cell_length_a 4.880
_cell_length_b 4.880
_cell_length_c 4.880
_cell_angle_alpha 90.00
_cell_angle_beta 90.00
_cell_angle_gamma 90.00
loop_
_atom_site_label
_atom_site_type_symbol
_atom_site_fract_x
_atom_site_fract_y
_atom_site_fract_z
Li1 Li 0.000 0.000 0.000
H1 H 0.000 0.000 0.500
F1 F 0.250 0.250 0.250


# Li2HF | Alexandria via LeMat-Bulk | PBE | relaxed
# * total magnetization: 0.000 Bohr magnetons per cell
# * VASP energy: -3.93 eV per atom
# * DOS(E_F): 0.00 states/eV per cell
data_Li2HF
_chemical_formula_sum 'Li2 H1 F1'
_symmetry_space_group_name_H-M 'P 4/m m m'
_symmetry_Int_Tables_number 123
_symmetry_space_group_name_Hall '-P 4 2'
_cell_length_a 2.868
_cell_length_b 2.868
_cell_length_c 4.072
_cell_angle_alpha 90.00
_cell_angle_beta 90.00
_cell_angle_gamma 90.00
loop_
_atom_site_label
_atom_site_type_symbol
_atom_site_fract_x
_atom_site_fract_y
_atom_site_fract_z
Li1 Li 0.000 0.000 0.000
Li2 Li 0.500 0.500 0.500
H1 H 0.000 0.000 0.500
F1 F 0.500 0.500 0.000


# Li2HF | Alexandria via LeMat-Bulk | PBE | relaxed
# * total magnetization: 0.000 Bohr magnetons per cell
# * VASP energy: -3.67 eV per atom
# * DOS(E_F): 0.00 states/eV per cell
data_Li2HF
_chemical_formula_sum 'Li8 H4 F4'
_symmetry_space_group_name_H-M 'F m -3 m'
_symmetry_Int_Tables_number 225
_symmetry_space_group_name_Hall '-F 4 2 3'
_cell_length_a 5.096
_cell_length_b 5.096
_cell_length_c 5.096
_cell_angle_alpha 90.00
_cell_angle_beta 90.00
_cell_angle_gamma 90.00
loop_
_atom_site_label
_atom_site_type_symbol
_atom_site_fract_x
_atom_site_fract_y
_atom_site_fract_z
Li1 Li 0.250 0.250 0.250
H1 H 0.000 0.000 0.000
F1 F 0.000 0.000 0.500


# Li5HF4 | Alexandria via LeMat-Bulk | PBE | relaxed
# * total magnetization: 0.000 Bohr magnetons per cell
# * VASP energy: -4.48 eV per atom
# * DOS(E_F): 0.00 states/eV per cell
data_Li5HF4
_chemical_formula_sum 'Li15 H3 F12'
_symmetry_space_group_name_H-M 'R -3 m'
_symmetry_Int_Tables_number 166
_symmetry_space_group_name_Hall '-R 3 2"'
_cell_length_a 2.8784
_cell_length_b 2.8784
_cell_length_c 35.3197
_cell_angle_alpha 90.00
_cell_angle_beta 90.00
_cell_angle_gamma 120.00
loop_
_atom_site_label
_atom_site_type_symbol
_atom_site_fract_x
_atom_site_fract_y
_atom_site_fract_z
Li1 Li 0.0000 0.0000 0.0000
Li2 Li 0.0000 0.0000 0.2000
Li3 Li 0.0000 0.0000 0.4001
H1 H 0.0000 0.0000 0.5000
F1 F 0.0000 0.0000 0.1001
F2 F 0.0000 0.0000 0.3000


# LiHF2 | Alexandria via LeMat-Bulk | PBE | relaxed
# * total magnetization: 0.000 Bohr magnetons per cell
# * VASP energy: -4.59 eV per atom
# * DOS(E_F): 0.00 states/eV per cell
data_LiHF2
_chemical_formula_sum 'Li3 H3 F6'
_symmetry_space_group_name_H-M 'R -3 m'
_symmetry_Int_Tables_number 166
_symmetry_space_group_name_Hall '-R 3 2"'
_cell_length_a 3.0306
_cell_length_b 3.0306
_cell_length_c 13.3003
_cell_angle_alpha 90.00
_cell_angle_beta 90.00
_cell_angle_gamma 120.00
loop_
_atom_site_label
_atom_site_type_symbol
_atom_site_fract_x
_atom_site_fract_y
_atom_site_fract_z
Li1 Li 0.0000 0.0000 0.0000
H1 H 0.0000 0.0000 0.5000
F1 F 0.0000 0.0000 0.4137